Entry 1:
DFT (PBE) results for a geometry-optimized K2Sn3I8 structure.

Unit cell a=8.0892 b=9.3303 c=9.8732 alpha=118.20 beta=105.58 gamma=90.00
Fractional positions:
I  0.6027  0.1269  0.7785
I  0.0571  0.3865  0.7731
Sn  0.0000  0.7431  0.0000
I  0.9011  0.1116  0.2232
I  0.0989  0.8884  0.7768
K  0.6638  0.7386  0.4772
Sn  0.0000  0.2569  0.0000
I  0.6027  0.6516  0.7785
K  0.3362  0.2614  0.5228
I  0.9429  0.6135  0.2269
I  0.3973  0.8731  0.2215
Sn  0.5000  0.0000  0.0000
I  0.3973  0.3484  0.2215

## Properties
Energy above the lowest structure with this stoichiometry in meV per atom: 0
Total magnetization in μB per formula unit: 0.0
Uncorrected formation energy in meV/atom: -803

---

Entry 2:
DFT (PBE) results for a geometry-optimized RbLi2CdSn structure.

Unit cell a=5.4356 b=5.4356 c=5.7459 alpha=90.00 beta=90.00 gamma=90.00
Fractional positions:
Rb  0.5000  0.5000  0.5000
Li  0.0000  0.5000  0.0000
Sn  0.0000  0.0000  0.0000
Li  0.5000  0.0000  0.0000
Cd  0.0000  0.0000  0.5000

## Properties
Total magnetization in μB per formula unit: 0.0
Energy relative to the elements in meV/atom: -105.9

---

Entry 3:
DFT (PBE) results for a geometry-optimized RbHoAs structure.

Unit cell a=4.3841 b=4.3841 c=7.7483 alpha=90.00 beta=90.00 gamma=120.00
Fractional positions:
As  0.3333  0.6667  0.6062
Rb  0.0000  0.0000  0.9295
Ho  0.6667  0.3333  0.4643

## Properties
Total magnetization in μB per formula unit: 0.0
Energy relative to the elements in meV/atom: -524.6

---

Entry 4:
DFT (PBE) results for a geometry-optimized TbTm6Th2 structure.

Unit cell a=6.5355 b=9.4614 c=9.4614 alpha=96.82 beta=82.06 gamma=82.06
Fractional positions:
Th  0.6213  0.6592  0.6104
Tm  0.4946  0.3448  0.7272
Tm  0.5054  0.6552  0.2728
Tm  0.1844  0.0484  0.2260
Tb  0.7500  0.8864  0.1136
Tm  0.6844  0.2260  0.0484
Tm  0.3156  0.7740  0.9516
Tm  0.7279  0.0613  0.4567
Tm  0.9946  0.7272  0.3448
Tm  0.2721  0.9387  0.5433
Tb  0.2500  0.1136  0.8864
Th  0.8787  0.3896  0.3408
Tm  0.8156  0.9516  0.7740
Th  0.3787  0.3408  0.3896
Tm  0.0054  0.2728  0.6552
Th  0.1213  0.6104  0.6592
Tm  0.7721  0.5433  0.9387
Tm  0.2279  0.4567  0.0613

## Properties
Energy above the lowest structure with this stoichiometry in meV per atom: 17
Total magnetization in μB per formula unit: 0.0
Energy relative to the elements in meV/atom: 143.5

---

Entry 5:
DFT (PBE) results for a geometry-optimized FeHgB2 structure.

Unit cell a=3.9790 b=3.9790 c=3.9790 alpha=60.00 beta=60.00 gamma=60.00
Site moments in Bohr magnetons follow the coordinates.
Fractional positions:
Hg  0.5000  0.5000  0.5000  0.03
Fe  0.0000  0.0000  0.0000  1.77
B  0.7500  0.7500  0.7500  0.00
B  0.2500  0.2500  0.2500  0.00

## Properties
Energy above the lowest structure with this stoichiometry in meV per atom: 826
Total magnetization in μB per formula unit: 1.9
Energy relative to the elements in meV/atom: 1380.9

---

Entry 6:
DFT (PBE) results for a geometry-optimized ThHgAu3 structure.

Unit cell a=5.6167 b=6.2415 c=6.5846 alpha=90.00 beta=101.97 gamma=90.00
Fractional positions:
Au  0.6846  0.0245  0.3778
Au  0.6846  0.4755  0.3778
Au  0.3154  0.9755  0.6222
Th  0.1532  0.2500  0.2337
Au  0.0185  0.7500  0.2435
Hg  0.4129  0.7500  0.0438
Hg  0.5871  0.2500  0.9562
Au  0.3154  0.5245  0.6222
Th  0.8468  0.7500  0.7663
Au  0.9815  0.2500  0.7565

## Properties
Total magnetization in μB per formula unit: 0.0
Energy relative to the elements in meV/atom: -397.8

---

Entry 7:
DFT (PBE) results for a geometry-optimized Tb2NdErIn4 structure.

Unit cell a=5.3519 b=5.3519 c=9.2993 alpha=73.28 beta=73.28 gamma=60.00
Fractional positions:
Tb  0.2493  0.2493  0.2520
In  0.6234  0.6234  0.1299
Nd  0.0000  0.0000  0.0000
In  0.8735  0.8735  0.3796
Tb  0.7507  0.7507  0.7480
In  0.3766  0.3766  0.8701
In  0.1265  0.1265  0.6204
Er  0.5000  0.5000  0.5000

## Properties
Total magnetization in μB per formula unit: 0.0
Energy relative to the elements in meV/atom: -468.4

---

Entry 8:
DFT (PBE) results for a geometry-optimized CaFe2Cu structure.

Unit cell a=4.3235 b=4.3235 c=9.2020 alpha=76.41 beta=76.41 gamma=90.00
Site moments in Bohr magnetons follow the coordinates.
Fractional positions:
Cu  0.7500  0.2500  0.5000  0.11
Ca  0.2500  0.7500  0.5000  -0.05
Fe  0.8750  0.1786  0.7500  2.44
Fe  0.8214  0.6250  0.2500  2.54
Ca  0.5000  0.5000  0.0000  -0.05
Fe  0.3750  0.0714  0.7500  2.44
Fe  0.9286  0.1250  0.2500  2.54
Cu  0.0000  0.0000  0.0000  0.11

## Properties
Total magnetization in μB per formula unit: 4.9
Energy relative to the elements in meV/atom: 593.6